Material: Tm3CCl3
Method: DFT, GGA-PBE
State: optimized geometry

Computed properties:
**Raw formation energy**: -1.54 eV per atom
**SG**: No. 148
**Mass density**: 6.0 g/cm3
**VASP energy**: -77.95 eV per cell

a b c (Å): 10.5761 10.5761 10.5761
angles (deg): 34.78 34.78 34.78
Last column: nearest neighbours and their distance in Å.
Element x y z (fractional)
Tm (0.1044, 0.4549, 0.8055)  2 C 2.45, 1 Cl 2.66
Tm (0.1945, 0.8956, 0.5451)  2 C 2.45, 1 Cl 2.66
Tm (0.4549, 0.8055, 0.1044)  2 C 2.45, 1 Cl 2.66
Tm (0.5451, 0.1945, 0.8956)  2 C 2.45, 1 Cl 2.66
Tm (0.8055, 0.1044, 0.4549)  2 C 2.45, 1 Cl 2.66
Tm (0.8956, 0.5451, 0.1945)  2 C 2.45, 1 Cl 2.66
C (0.1667, 0.1667, 0.1667)  6 Tm 2.45
C (0.8333, 0.8333, 0.8333)  6 Tm 2.45
Cl (0.0695, 0.7250, 0.3973)  3 Tm 2.66-2.75
Cl (0.2750, 0.6027, 0.9305)  3 Tm 2.66-2.75
Cl (0.3973, 0.0695, 0.7250)  3 Tm 2.66-2.75
Cl (0.6027, 0.9305, 0.2750)  3 Tm 2.66-2.75
Cl (0.7250, 0.3973, 0.0695)  3 Tm 2.66-2.75
Cl (0.9305, 0.2750, 0.6027)  3 Tm 2.66-2.75


Material: SrAc4Tb
Method: DFT, GGA-PBE
State: optimized geometry

Computed properties:
**SG**: No. 216
**Mass density**: 6.9 g/cm3
**VASP energy**: -21.03 eV per cell
**Relative energy among the computed polymorphs**: 0.235 eV per atom

a b c (Å): 7.3396 7.3396 7.3396
angles (deg): 60.00 60.00 60.00
Last column: nearest neighbours and their distance in Å.
Element x y z (fractional)
Sr (0.0000, 0.0000, 0.0000)  12 Ac 4.31, 4 Tb 4.49
Ac (0.3767, 0.3767, 0.3767)  6 Ac 3.62-3.72
Ac (0.3767, 0.3767, 0.8698)  6 Ac 3.62-3.72
Ac (0.3767, 0.8698, 0.3767)  6 Ac 3.62-3.72
Ac (0.8698, 0.3767, 0.3767)  6 Ac 3.62-3.72
Tb (0.7500, 0.7500, 0.7500)  12 Ac 4.30, 4 Sr 4.49


Material: CdP2H6Br
Method: DFT, GGA-PBE
State: optimized geometry

Computed properties:
**SG**: No. 15
**Mass density**: 2.8 g/cm3
**VASP energy**: -68.15 eV per cell

a b c (Å): 8.2572 8.2572 6.7163
angles (deg): 98.91 98.91 133.65
Last column: nearest neighbours and their distance in Å.
Element x y z (fractional)
Cd (0.2393, 0.7607, 0.7500)  4 P 2.81-2.83, 4 H 3.07-3.09
Cd (0.7607, 0.2393, 0.2500)  4 P 2.81-2.83, 4 H 3.07-3.09
P (0.0747, 0.3135, 0.5908)  3 H 1.42-1.43
P (0.3135, 0.0747, 0.0908)  3 H 1.42-1.43
P (0.6865, 0.9253, 0.9092)  3 H 1.42-1.43
P (0.9253, 0.6865, 0.4092)  3 H 1.42-1.43
H (0.0573, 0.9063, 0.0107)  1 P 1.43
H (0.0937, 0.9427, 0.4893)  1 P 1.43
H (0.1433, 0.3416, 0.8128)  1 P 1.43
H (0.2665, 0.3643, 0.5482)  1 P 1.42
H (0.3416, 0.1433, 0.3128)  1 P 1.43
H (0.3643, 0.2665, 0.0482)  1 P 1.42
H (0.6357, 0.7335, 0.9518)  1 P 1.42
H (0.6584, 0.8567, 0.6872)  1 P 1.43
H (0.7335, 0.6357, 0.4518)  1 P 1.42
H (0.8567, 0.6584, 0.1872)  1 P 1.43
H (0.9063, 0.0573, 0.5107)  1 P 1.43
H (0.9427, 0.0937, 0.9893)  1 P 1.43
Br (0.3198, 0.6802, 0.2500)  6 H 3.01-3.36, 2 Cd 3.37
Br (0.6802, 0.3198, 0.7500)  6 H 3.01-3.36, 2 Cd 3.37


Material: As2PtPb
Method: DFT, GGA-PBE
State: optimized geometry

Computed properties:
**SG**: No. 6
**Mass density**: 9.3 g/cm3
**VASP energy**: -19.17 eV per cell

a b c (Å): 4.5945 4.5239 4.7376
angles (deg): 90.00 94.90 90.00
Last column: nearest neighbours and their distance in Å.
Element x y z (fractional)
As (0.0000, 0.0000, 0.0000)  2 Pt 2.58, 2 As 2.71
As (0.3197, 0.5000, 0.9640)  2 Pt 2.41-2.60
Pt (0.8161, 0.5000, 0.1751)  4 As 2.41-2.60
Pb (0.5502, 0.0000, 0.4812)  2 Pt 3.00, 3 As 3.07-3.26


Material: LaRe4W
Method: DFT, GGA-PBE
State: optimized geometry

Computed properties:
**SG**: No. 216
**Mass density**: 16.3 g/cm3
**VASP energy**: -65.00 eV per cell

a b c (Å): 5.3528 5.3528 5.3528
angles (deg): 60.00 60.00 60.00
Last column: nearest neighbours and their distance in Å.
Element x y z (fractional)
La (0.0000, 0.0000, 0.0000)  12 Re 3.14, 4 W 3.28
Re (0.1251, 0.6250, 0.6250)  6 Re 2.68
Re (0.6250, 0.1251, 0.6250)  6 Re 2.68
Re (0.6250, 0.6250, 0.1251)  6 Re 2.68
Re (0.6250, 0.6250, 0.6250)  6 Re 2.68
W (0.2500, 0.2500, 0.2500)  12 Re 3.14, 4 La 3.28


Material: K3Er2PbS6
Method: DFT, GGA-PBE
State: optimized geometry

Computed properties:
**Raw formation energy**: -1.47 eV per atom
**SG**: No. 12
**Mass density**: 4.4 g/cm3
**VASP energy**: -58.48 eV per cell

a b c (Å): 7.0533 7.0533 7.7448
angles (deg): 98.73 98.73 119.99
Last column: nearest neighbours and their distance in Å.
Element x y z (fractional)
K (0.0000, 0.0000, 0.0000)  6 S 3.14-3.25
K (0.3372, 0.6628, 0.0000)  6 S 3.17-3.25
K (0.6628, 0.3372, 0.0000)  6 S 3.17-3.25
Er (0.1671, 0.8329, 0.5000)  6 S 2.75
Er (0.8329, 0.1671, 0.5000)  6 S 2.75
Pb (0.5000, 0.5000, 0.5000)  6 S 2.87
S (0.0849, 0.4319, 0.2961)  2 Er 2.75, 1 Pb 2.87
S (0.2206, 0.2206, 0.7031)  2 Er 2.75, 1 Pb 2.87
S (0.4319, 0.0849, 0.2961)  2 Er 2.75, 1 Pb 2.87
S (0.5681, 0.9151, 0.7039)  2 Er 2.75, 1 Pb 2.87
S (0.7794, 0.7794, 0.2969)  2 Er 2.75, 1 Pb 2.87
S (0.9151, 0.5681, 0.7039)  2 Er 2.75, 1 Pb 2.87


Material: PmThCuNi
Method: DFT, GGA-PBE
State: optimized geometry

Computed properties:
**SG**: No. 216
**Mass density**: 9.4 g/cm3
**VASP energy**: -22.72 eV per cell
**Relative energy among the computed polymorphs**: 0.110 eV per atom

a b c (Å): 4.9878 4.9878 4.9878
angles (deg): 60.00 60.00 60.00
Last column: nearest neighbours and their distance in Å.
Element x y z (fractional)
Pm (0.0000, 0.0000, 0.0000)  4 Ni 3.05, 4 Cu 3.05
Th (0.5000, 0.5000, 0.5000)  4 Ni 3.05, 4 Cu 3.05
Cu (0.2500, 0.2500, 0.2500)  4 Th 3.05, 4 Pm 3.05
Ni (0.7500, 0.7500, 0.7500)  4 Th 3.05, 4 Pm 3.05


Material: BeRe2Tc
Method: DFT, GGA-PBE
State: optimized geometry

Computed properties:
**SG**: No. 65
**Mass density**: 14.5 g/cm3
**VASP energy**: -38.10 eV per cell

a b c (Å): 2.6566 2.6566 8.4445
angles (deg): 90.00 90.00 112.97
Last column: nearest neighbours and their distance in Å.
Element x y z (fractional)
Be (0.0000, 0.0000, 0.0000)  4 Re 2.44, 4 Be 2.66
Re (0.5000, 0.5000, 0.2316)  2 Be 2.44, 4 Re 2.66, 2 Tc 2.70
Re (0.5000, 0.5000, 0.7684)  2 Be 2.44, 4 Re 2.66, 2 Tc 2.70
Tc (0.0000, 0.0000, 0.5000)  6 Tc 2.66-2.93, 4 Re 2.70